Here is a relaxed CaBeRu crystal from Alexandria. Energies are from PBE-GGA.

Calculated values
Energy relative to the elements in meV per atom: 1447
Energy above the lowest structure with this stoichiometry in meV/atom: 1542
Space group: F-43m (216)

Cell lengths 6.229, 6.229, 6.229 Å; angles 90.00, 90.00, 90.00 degrees
Sites, in units of the cell vectors:
Ca (0.000, 0.000, 0.000)
Ca (0.000, 0.500, 0.500)
Ca (0.500, 0.000, 0.500)
Ca (0.500, 0.500, 0.000)
Be (0.250, 0.250, 0.750)
Be (0.250, 0.750, 0.250)
Be (0.750, 0.250, 0.250)
Be (0.750, 0.750, 0.750)
Ru (0.250, 0.250, 0.250)
Ru (0.250, 0.750, 0.750)
Ru (0.750, 0.250, 0.750)
Ru (0.750, 0.750, 0.250)